A plane-wave DFT calculation with PBE-GGA was carried out for crystalline LaMgPb2 at its relaxed geometry.

```
4
Lattice="4.961 0.000 0.000 0.000 4.961 0.000 0.000 0.000 4.676" Properties=species:S:1:pos:R:3 pbc="T T T"
La 0.000 0.000 0.000
Mg 2.480 2.480 0.000
Pb 0.000 2.480 2.338
Pb 2.480 0.000 2.338
```

Density, Mg/m³: 8.34
Formation energy from the elements, eV/atom: -0.4315
DOS at the Fermi energy, states/eV/cell: 2.3
Electronic total energy, eV/cell: -15.7